Material: Na2NbRh
Method: DFT, PBE-GGA
State: optimized geometry

E_form: 1185 meV/atom
Magnetization: 0.00 μB/f.u.
Excess energy over the best structure of this formula in the dataset: 235 meV per atom

Geometry as POSCAR:
```
Na2NbRh
1.0
6.678 0.000 0.000
0.000 6.678 0.000
0.000 0.000 6.678
Na Nb Rh
8 4 4
Cartesian
1.669 1.669 1.669
1.669 1.669 5.008
1.669 5.008 1.669
1.669 5.008 5.008
5.008 1.669 1.669
5.008 1.669 5.008
5.008 5.008 1.669
5.008 5.008 5.008
0.000 0.000 0.000
0.000 3.339 3.339
3.339 0.000 3.339
3.339 3.339 0.000
0.000 0.000 3.339
0.000 3.339 0.000
3.339 0.000 0.000
3.339 3.339 3.339
```